Material: Sr2Zn3Cu5
Method: DFT, PBE
State: optimized geometry

## Properties
E_form (eV per formula unit): -1.05
D(E_F) (states/eV per atom): 0.4780

POSCAR file:
```
Sr2Zn3Cu5
1.0
6.188 0.000 0.000
3.094 7.905 0.131
3.094 1.349 7.790
Sr Cu Zn
4 10 6
Direct
0.873 0.392 0.862
0.627 0.138 0.608
0.127 0.608 0.138
0.373 0.862 0.392
0.382 0.262 0.974
0.973 0.777 0.777
0.473 0.777 0.777
0.882 0.974 0.262
0.618 0.738 0.026
0.750 0.500 0.500
0.250 0.500 0.500
0.118 0.026 0.738
0.527 0.223 0.223
0.027 0.223 0.223
0.250 0.000 0.000
0.136 0.259 0.469
0.636 0.469 0.259
0.864 0.741 0.531
0.364 0.531 0.741
0.750 0.000 0.000
```